# Ce2YAl2Zn2, relaxed, DFT GGA-PBE
data_Ce2YAl2Zn2
_chemical_formula_sum 'Ce2 Y1 Al2 Zn2'
_space_group_name_H-M_alt 'P 1'
_space_group_IT_number 1
_space_group_name_Hall 'P 1'
_cell_length_a 4.380
_cell_length_b 4.380
_cell_length_c 9.394
_cell_angle_alpha 76.52
_cell_angle_beta 76.52
_cell_angle_gamma 60.00
loop_
_atom_site_label
_atom_site_type_symbol
_atom_site_fract_x
_atom_site_fract_y
_atom_site_fract_z
Y1 Y 0.000 0.000 0.000
Al1 Al 0.737 0.737 0.790
Al2 Al 0.263 0.263 0.210
Ce1 Ce 0.142 0.142 0.575
Ce2 Ce 0.858 0.858 0.425
Zn1 Zn 0.599 0.599 0.204
Zn2 Zn 0.401 0.401 0.796
# spin magnetization = 1.30 Bohr magnetons per cell
# energy relative to the elements = -33 kJ/mol of atoms